Model i:
VFe2Re | PBE | relaxed

Properties
Calculated volume, Å³/cell: 222.16
N(E_F), states/eV/f.u.: 3.688
Space group: No. 122

Lattice parameters (Å, degrees): 3.4818 3.4818 18.3256 90.00 90.00 90.00
Closest atoms and distances in Å follow each position.
Positions (direct):
V1 0.0000 0.0000 0.0000  4 Re 2.46, 4 Fe 2.60
V2 0.0000 0.5000 0.2500  4 Re 2.46, 4 Fe 2.60
V3 0.5000 0.0000 0.7500  4 Re 2.46, 4 Fe 2.60
V4 0.5000 0.5000 0.5000  4 Re 2.46, 4 Fe 2.60
Fe1 0.2481 0.2500 0.1250  4 Fe 2.45-2.47, 2 V 2.60, 2 Re 2.60
Fe2 0.2500 0.7481 0.3750  4 Fe 2.45-2.47, 2 V 2.60, 2 Re 2.60
Fe3 0.2500 0.7519 0.8750  4 Fe 2.45-2.47, 2 V 2.60, 2 Re 2.60
Fe4 0.2519 0.2500 0.6250  4 Fe 2.45-2.47, 2 V 2.60, 2 Re 2.60
Fe5 0.7481 0.7500 0.6250  4 Fe 2.45-2.47, 2 V 2.60, 2 Re 2.60
Fe6 0.7500 0.2481 0.8750  4 Fe 2.45-2.47, 2 V 2.60, 2 Re 2.60
Fe7 0.7500 0.2519 0.3750  4 Fe 2.45-2.47, 2 V 2.60, 2 Re 2.60
Fe8 0.7519 0.7500 0.1250  4 Fe 2.45-2.47, 2 V 2.60, 2 Re 2.60
Re1 0.0000 0.0000 0.5000  4 V 2.46, 4 Fe 2.60
Re2 0.0000 0.5000 0.7500  4 V 2.46, 4 Fe 2.60
Re3 0.5000 0.0000 0.2500  4 V 2.46, 4 Fe 2.60
Re4 0.5000 0.5000 0.0000  4 V 2.46, 4 Fe 2.60

Model ii:
VFe2Re | PBE | relaxed

Properties
Calculated volume, Å³/cell: 49.49
N(E_F), states/eV/f.u.: 4.235
Space group: No. 123

Lattice parameters (Å, degrees): 3.6651 3.6651 3.6846 90.00 90.00 90.00
Closest atoms and distances in Å follow each position.
Positions (direct):
V1 0.0000 0.0000 0.0000  4 Re 2.59, 8 Fe 2.60
Fe1 0.0000 0.5000 0.5000  4 Fe 2.59, 4 Re 2.60, 4 V 2.60
Fe2 0.5000 0.0000 0.5000  4 Fe 2.59, 4 Re 2.60, 4 V 2.60
Re1 0.5000 0.5000 0.0000  4 V 2.59, 8 Fe 2.60

Model iii:
VFe2Re | PBE | relaxed

Properties
Calculated volume, Å³/cell: 48.81
N(E_F), states/eV/f.u.: 5.673
Space group: No. 123

Lattice parameters (Å, degrees): 2.7156 2.7156 6.6194 90.00 90.00 90.00
Closest atoms and distances in Å follow each position.
Positions (direct):
V1 0.0000 0.0000 0.0000  8 Fe 2.47, 4 V 2.72
Fe1 0.5000 0.5000 0.2337  4 V 2.47, 4 Re 2.61, 4 Fe 2.72
Fe2 0.5000 0.5000 0.7663  4 V 2.47, 4 Re 2.61, 4 Fe 2.72
Re1 0.0000 0.0000 0.5000  8 Fe 2.61, 4 Re 2.72

Most favorable first, least favorable last: model ii, model iii, model i

Model i:
VFeRe | PBE | relaxed

Properties
Calculated volume, Å³/cell: 79.36
N(E_F), states/eV/f.u.: 2.220
Space group: No. 129

Lattice parameters (Å, degrees): 3.0067 3.0067 8.7788 90.00 90.00 90.00
Closest atoms and distances in Å follow each position.
Positions (direct):
V1 0.2500 0.2500 0.0843  4 V 2.59, 4 Re 2.60
V2 0.7500 0.7500 0.9157  4 V 2.59, 4 Re 2.60
Fe1 0.2500 0.2500 0.4231  4 Fe 2.52, 4 Re 2.59
Fe2 0.7500 0.7500 0.5769  4 Fe 2.52, 4 Re 2.59
Re1 0.2500 0.2500 0.7450  5 Fe 2.59-2.83, 4 V 2.60
Re2 0.7500 0.7500 0.2550  5 Fe 2.59-2.83, 4 V 2.60

Model ii:
VFeRe | PBE | relaxed

Properties
Calculated volume, Å³/cell: 40.05
N(E_F), states/eV/f.u.: 2.354
Space group: No. 156

Lattice parameters (Å, degrees): 4.2492 4.2492 2.5615 90.00 90.00 120.00
Closest atoms and distances in Å follow each position.
Positions (direct):
V1 0.0000 0.0000 0.0000  2 V 2.56, 3 Fe 2.58, 3 Re 2.60
Fe1 0.6667 0.3333 0.3101  2 Fe 2.56, 3 V 2.58, 3 Re 2.62
Re1 0.3333 0.6667 0.6679  2 Re 2.56, 3 V 2.60, 3 Fe 2.62

Most favorable first, least favorable last: model i, model ii

Model i:
VFe2Re2 | PBE | relaxed

Properties
Calculated volume, Å³/cell: 132.74
N(E_F), states/eV/f.u.: 5.012
Space group: No. 127

Lattice parameters (Å, degrees): 7.0717 7.0717 2.6544 90.00 90.00 90.00
Closest atoms and distances in Å follow each position.
Positions (direct):
V1 0.0000 0.0000 0.0000  2 V 2.65, 4 Fe 2.80, 8 Re 2.93
V2 0.5000 0.5000 0.0000  2 V 2.65, 4 Fe 2.80, 8 Re 2.93
Fe1 0.1230 0.3770 0.0000  6 Re 2.44-2.50, 3 Fe 2.46-2.65
Fe2 0.3770 0.8770 0.0000  6 Re 2.44-2.50, 3 Fe 2.46-2.65
Fe3 0.6230 0.1230 0.0000  6 Re 2.44-2.50, 3 Fe 2.46-2.65
Fe4 0.8770 0.6230 0.0000  6 Re 2.44-2.50, 3 Fe 2.46-2.65
Re1 0.1728 0.6728 0.5000  6 Fe 2.44-2.50, 2 Re 2.65
Re2 0.3272 0.1728 0.5000  6 Fe 2.44-2.50, 2 Re 2.65
Re3 0.6728 0.8272 0.5000  6 Fe 2.44-2.50, 2 Re 2.65
Re4 0.8272 0.3272 0.5000  6 Fe 2.44-2.50, 2 Re 2.65

Model ii:
VFe2Re2 | PBE | relaxed

Properties
Calculated volume, Å³/cell: 135.43
N(E_F), states/eV/f.u.: 5.930
Space group: No. 127

Lattice parameters (Å, degrees): 7.1788 7.1788 2.6280 90.00 90.00 90.00
Closest atoms and distances in Å follow each position.
Positions (direct):
V1 0.0000 0.0000 0.0000  2 V 2.63, 4 Re 2.82
V2 0.5000 0.5000 0.0000  2 V 2.63, 4 Re 2.82
Fe1 0.1700 0.3300 0.5000  6 Re 2.44-2.53, 2 Fe 2.63
Fe2 0.3300 0.8300 0.5000  6 Re 2.44-2.53, 2 Fe 2.63
Fe3 0.6700 0.1700 0.5000  6 Re 2.44-2.53, 2 Fe 2.63
Fe4 0.8300 0.6700 0.5000  6 Re 2.44-2.53, 2 Fe 2.63
Re1 0.1281 0.6281 0.0000  6 Fe 2.44-2.53, 3 Re 2.60-2.63
Re2 0.3719 0.1281 0.0000  6 Fe 2.44-2.53, 3 Re 2.60-2.63
Re3 0.6281 0.8719 0.0000  6 Fe 2.44-2.53, 3 Re 2.60-2.63
Re4 0.8719 0.3719 0.0000  6 Fe 2.44-2.53, 3 Re 2.60-2.63

Most favorable first, least favorable last: model i, model ii

Model i:
FeReW2 | PBE | relaxed

Properties
Calculated volume, Å³/cell: 59.16
N(E_F), states/eV/f.u.: 3.881
Space group: No. 25

Lattice parameters (Å, degrees): 2.6910 3.8960 5.6430 90.00 90.00 90.00
Closest atoms and distances in Å follow each position.
Positions (direct):
Fe1 0.0000 0.0000 0.0000  2 Fe 2.69, 4 Re 2.69, 6 W 2.71-2.89
Re1 0.5000 0.5000 0.2280  5 W 2.61-2.78, 2 Re 2.69, 4 Fe 2.69
W1 0.0000 0.0000 0.4876  6 W 2.69-2.84, 2 Fe 2.75-2.89, 4 Re 2.78
W2 0.5000 0.5000 0.7652  1 Re 2.61, 6 W 2.69-2.84, 4 Fe 2.71

Model ii:
FeReW2 | PBE | relaxed

Properties
Calculated volume, Å³/cell: 119.53
N(E_F), states/eV/f.u.: 3.374
Space group: No. 44

Lattice parameters (Å, degrees): 3.1362 4.3775 8.7064 90.00 90.00 90.00
Closest atoms and distances in Å follow each position.
Positions (direct):
Fe1 0.0000 0.0000 0.0000  6 W 2.67-2.69, 2 Re 2.70
Fe2 0.5000 0.5000 0.5000  6 W 2.67-2.69, 2 Re 2.70
Re1 0.0000 0.5000 0.7526  6 W 2.67-2.69, 2 Fe 2.70
Re2 0.5000 0.0000 0.2526  6 W 2.67-2.69, 2 Fe 2.70
W1 0.0000 0.0000 0.5014  2 Re 2.67, 2 W 2.68, 4 Fe 2.69
W2 0.0000 0.5000 0.2512  2 Fe 2.67, 2 W 2.68, 4 Re 2.69
W3 0.5000 0.0000 0.7512  2 Fe 2.67, 2 W 2.68, 4 Re 2.69
W4 0.5000 0.5000 0.0014  2 Re 2.67, 2 W 2.68, 4 Fe 2.69

Model iii:
FeReW2 | PBE | relaxed

Properties
Calculated volume, Å³/cell: 58.99
N(E_F), states/eV/f.u.: 3.893
Space group: No. 123

Lattice parameters (Å, degrees): 3.9361 3.9361 3.8079 90.00 90.00 90.00
Closest atoms and distances in Å follow each position.
Positions (direct):
Fe1 0.0000 0.0000 0.0000  8 W 2.74, 4 Re 2.78
Re1 0.5000 0.5000 0.0000  8 W 2.74, 4 Fe 2.78
W1 0.0000 0.5000 0.5000  4 Fe 2.74, 4 Re 2.74, 4 W 2.78
W2 0.5000 0.0000 0.5000  4 Fe 2.74, 4 Re 2.74, 4 W 2.78

Most favorable first, least favorable last: model ii, model iii, model i

Model i:
FeReW2 | PBE | relaxed

Properties
Calculated volume, Å³/cell: 117.92
N(E_F), states/eV/f.u.: 4.109
Space group: No. 119

Lattice parameters (Å, degrees): 3.8518 3.8518 7.9485 90.00 90.00 90.00
Closest atoms and distances in Å follow each position.
Positions (direct):
Fe1 0.0000 0.0000 0.0000  8 W 2.72-2.77, 4 Re 2.77
Fe2 0.5000 0.5000 0.5000  8 W 2.72-2.77, 4 Re 2.77
Re1 0.0000 0.5000 0.7500  8 W 2.72-2.77, 4 Fe 2.77
Re2 0.5000 0.0000 0.2500  8 W 2.72-2.77, 4 Fe 2.77
W1 0.0000 0.0000 0.5000  4 Fe 2.72, 4 Re 2.77, 4 W 2.77
W2 0.0000 0.5000 0.2500  4 Re 2.72, 4 Fe 2.77, 4 W 2.77
W3 0.5000 0.0000 0.7500  4 Re 2.72, 4 Fe 2.77, 4 W 2.77
W4 0.5000 0.5000 0.0000  4 Fe 2.72, 4 W 2.77, 4 Re 2.77

Model ii:
FeReW2 | PBE | relaxed

Properties
Calculated volume, Å³/cell: 237.83
N(E_F), states/eV/f.u.: 3.695
Space group: No. 225

Lattice parameters (Å, degrees): 6.1957 6.1957 6.1957 90.00 90.00 90.00
Closest atoms and distances in Å follow each position.
Positions (direct):
Fe1 0.0000 0.0000 0.0000  8 W 2.68
Fe2 0.0000 0.5000 0.5000  8 W 2.68
Fe3 0.5000 0.0000 0.5000  8 W 2.68
Fe4 0.5000 0.5000 0.0000  8 W 2.68
Re1 0.0000 0.0000 0.5000  8 W 2.68
Re2 0.0000 0.5000 0.0000  8 W 2.68
Re3 0.5000 0.0000 0.0000  8 W 2.68
Re4 0.5000 0.5000 0.5000  8 W 2.68
W1 0.2500 0.2500 0.2500  4 Re 2.68, 4 Fe 2.68
W2 0.2500 0.2500 0.7500  4 Fe 2.68, 4 Re 2.68
W3 0.2500 0.7500 0.2500  4 Fe 2.68, 4 Re 2.68
W4 0.2500 0.7500 0.7500  4 Fe 2.68, 4 Re 2.68
W5 0.7500 0.2500 0.2500  4 Fe 2.68, 4 Re 2.68
W6 0.7500 0.2500 0.7500  4 Fe 2.68, 4 Re 2.68
W7 0.7500 0.7500 0.2500  4 Fe 2.68, 4 Re 2.68
W8 0.7500 0.7500 0.7500  4 Fe 2.68, 4 Re 2.68

Most favorable first, least favorable last: model ii, model i

Model i:
FeReW2 | PBE | relaxed

Properties
Calculated volume, Å³/cell: 117.23
N(E_F), states/eV/f.u.: 3.463
Space group: No. 8

Lattice parameters (Å, degrees): 9.1929 2.7556 4.7148 90.00 101.04 90.00
Closest atoms and distances in Å follow each position.
Positions (direct):
Fe1 0.0000 0.0000 0.0000  2 Re 2.59, 7 W 2.63-2.82, 2 Fe 2.76
Fe2 0.5000 0.5000 0.0000  2 Re 2.59, 7 W 2.63-2.82, 2 Fe 2.76
Re1 0.2706 0.0000 0.7574  2 Fe 2.59, 7 W 2.66-2.84, 2 Re 2.76
Re2 0.7706 0.5000 0.7574  2 Fe 2.59, 7 W 2.66-2.84, 2 Re 2.76
W1 0.0063 0.5000 0.5081  3 Re 2.66-2.84, 4 Fe 2.71-2.75, 5 W 2.71-2.91
W2 0.2380 0.5000 0.2278  3 Fe 2.63-2.82, 4 Re 2.68-2.82, 5 W 2.71-2.91
W3 0.5063 0.0000 0.5081  3 Re 2.66-2.84, 4 Fe 2.71-2.75, 5 W 2.71-2.91
W4 0.7380 0.0000 0.2278  3 Fe 2.63-2.82, 4 Re 2.68-2.82, 5 W 2.71-2.91

Model ii:
FeReW2 | PBE | relaxed

Properties
Calculated volume, Å³/cell: 59.87
N(E_F), states/eV/f.u.: 2.885
Space group: No. 10

Lattice parameters (Å, degrees): 2.6865 4.3693 5.1843 90.00 100.29 90.00
Closest atoms and distances in Å follow each position.
Positions (direct):
Fe1 0.0000 0.0000 0.0000  4 W 2.67, 2 Fe 2.69, 2 Re 2.70
Re1 0.5000 0.0000 0.5000  2 Re 2.69, 2 Fe 2.70, 4 W 2.70
W1 0.2482 0.5000 0.7542  4 W 2.66-2.73, 2 Fe 2.67, 2 Re 2.70
W2 0.7518 0.5000 0.2458  4 W 2.66-2.73, 2 Fe 2.67, 2 Re 2.70

Most favorable first, least favorable last: model ii, model i

Model i:
FeReW2 | PBE | relaxed

Properties
Calculated volume, Å³/cell: 118.76
N(E_F), states/eV/f.u.: 2.468
Space group: No. 65

Lattice parameters (Å, degrees): 3.1331 4.3993 8.6162 90.00 90.00 90.00
Closest atoms and distances in Å follow each position.
Positions (direct):
Fe1 0.0000 0.0000 0.0000  4 W 2.59, 4 Fe 2.70
Fe2 0.5000 0.5000 0.0000  4 W 2.59, 4 Fe 2.70
Re1 0.0000 0.0000 0.5000  4 Re 2.70, 4 W 2.73
Re2 0.5000 0.5000 0.5000  4 Re 2.70, 4 W 2.73
W1 0.0000 0.5000 0.2400  2 Fe 2.59, 4 W 2.70, 2 Re 2.73
W2 0.0000 0.5000 0.7600  2 Fe 2.59, 4 W 2.70, 2 Re 2.73
W3 0.5000 0.0000 0.2400  2 Fe 2.59, 4 W 2.70, 2 Re 2.73
W4 0.5000 0.0000 0.7600  2 Fe 2.59, 4 W 2.70, 2 Re 2.73

Model ii:
FeReW2 | PBE | relaxed

Properties
Calculated volume, Å³/cell: 58.96
N(E_F), states/eV/f.u.: 2.626
Space group: No. 123

Lattice parameters (Å, degrees): 3.1315 3.1315 6.0127 90.00 90.00 90.00
Closest atoms and distances in Å follow each position.
Positions (direct):
Fe1 0.0000 0.0000 0.0000  8 W 2.63
Re1 0.0000 0.0000 0.5000  8 W 2.72, 2 Fe 3.01
W1 0.5000 0.5000 0.2367  4 Fe 2.63, 4 Re 2.72, 1 W 2.85
W2 0.5000 0.5000 0.7633  4 Fe 2.63, 4 Re 2.72, 1 W 2.85

Most favorable first, least favorable last: model ii, model i

Model i:
FeReW2 | PBE | relaxed

Properties
Calculated volume, Å³/cell: 119.16
N(E_F), states/eV/f.u.: 2.410
Space group: No. 35

Lattice parameters (Å, degrees): 3.1455 4.3777 8.6533 90.00 90.00 90.00
Closest atoms and distances in Å follow each position.
Positions (direct):
Fe1 0.0000 0.0000 0.0000  2 Re 2.59, 2 W 2.61, 4 Fe 2.70
Fe2 0.5000 0.5000 0.0000  2 Re 2.59, 2 W 2.61, 4 Fe 2.70
Re1 0.0000 0.5000 0.7626  2 Fe 2.59, 4 Re 2.70, 2 W 2.73
Re2 0.5000 0.0000 0.7626  2 Fe 2.59, 4 Re 2.70, 2 W 2.73
W1 0.0000 0.0000 0.5044  6 W 2.70-2.77, 2 Re 2.73
W2 0.0000 0.5000 0.2407  2 Fe 2.61, 6 W 2.70-2.77
W3 0.5000 0.0000 0.2407  2 Fe 2.61, 6 W 2.70-2.77
W4 0.5000 0.5000 0.5044  6 W 2.70-2.77, 2 Re 2.73

Model ii:
FeReW2 | PBE | relaxed

Properties
Calculated volume, Å³/cell: 179.77
N(E_F), states/eV/f.u.: 5.626
Space group: No. 166

Lattice parameters (Å, degrees): 2.8035 2.8035 26.4107 90.00 90.00 120.00
Closest atoms and distances in Å follow each position.
Positions (direct):
Fe1 0.0000 0.0000 0.0000  6 W 2.67, 6 Fe 2.80
Fe2 0.3333 0.6667 0.6667  6 W 2.67, 6 Fe 2.80
Fe3 0.6667 0.3333 0.3333  6 W 2.67, 6 Fe 2.80
Re1 0.0000 0.0000 0.5000  6 W 2.79, 6 Re 2.80
Re2 0.3333 0.6667 0.1667  6 W 2.79, 6 Re 2.80
Re3 0.6667 0.3333 0.8333  6 W 2.79, 6 Re 2.80
W1 0.0000 0.0000 0.2527  3 Fe 2.67, 3 Re 2.79, 6 W 2.80
W2 0.0000 0.0000 0.7473  3 Fe 2.67, 3 Re 2.79, 6 W 2.80
W3 0.3333 0.6667 0.4139  3 Fe 2.67, 3 Re 2.79, 6 W 2.80
W4 0.3333 0.6667 0.9194  3 Fe 2.67, 3 Re 2.79, 6 W 2.80
W5 0.6667 0.3333 0.0806  3 Fe 2.67, 3 Re 2.79, 6 W 2.80
W6 0.6667 0.3333 0.5861  3 Fe 2.67, 3 Re 2.79, 6 W 2.80

Model iii:
FeReW2 | PBE | relaxed

Properties
Calculated volume, Å³/cell: 119.07
N(E_F), states/eV/f.u.: 3.242
Space group: No. 71

Lattice parameters (Å, degrees): 3.1535 4.3670 8.6464 90.00 90.00 90.00
Closest atoms and distances in Å follow each position.
Positions (direct):
Fe1 0.0000 0.0000 0.0000  4 W 2.68, 4 Re 2.69
Fe2 0.5000 0.5000 0.5000  4 W 2.68, 4 Re 2.69
Re1 0.0000 0.0000 0.5000  4 W 2.67, 4 Fe 2.69
Re2 0.5000 0.5000 0.0000  4 W 2.67, 4 Fe 2.69
W1 0.0000 0.5000 0.2493  2 Re 2.67, 2 Fe 2.68, 4 W 2.69
W2 0.0000 0.5000 0.7507  2 Re 2.67, 2 Fe 2.68, 4 W 2.69
W3 0.5000 0.0000 0.2507  2 Re 2.67, 2 Fe 2.68, 4 W 2.69
W4 0.5000 0.0000 0.7493  2 Re 2.67, 2 Fe 2.68, 4 W 2.69

Model iv:
FeReW2 | PBE | relaxed

Properties
Calculated volume, Å³/cell: 339.05
N(E_F), states/eV/f.u.: 4.056
Space group: No. 122

Lattice parameters (Å, degrees): 5.5726 5.5726 10.9182 90.00 90.00 90.00
Closest atoms and distances in Å follow each position.
Positions (direct):
Fe1 0.0000 0.0000 0.0000  4 W 2.30
Fe2 0.0000 0.5000 0.2500  4 W 2.30
Fe3 0.5000 0.0000 0.7500  4 W 2.30
Fe4 0.5000 0.5000 0.5000  4 W 2.30
Re1 0.0000 0.0000 0.5000  4 W 2.50
Re2 0.0000 0.5000 0.7500  4 W 2.50
Re3 0.5000 0.0000 0.2500  4 W 2.50
Re4 0.5000 0.5000 0.0000  4 W 2.50
W1 0.2200 0.2500 0.1250  2 Fe 2.30, 2 Re 2.50
W2 0.2500 0.7200 0.3750  2 Fe 2.30, 2 Re 2.50
W3 0.2500 0.7800 0.8750  2 Fe 2.30, 2 Re 2.50
W4 0.2800 0.2500 0.6250  2 Fe 2.30, 2 Re 2.50
W5 0.7200 0.7500 0.6250  2 Fe 2.30, 2 Re 2.50
W6 0.7500 0.2200 0.8750  2 Fe 2.30, 2 Re 2.50
W7 0.7500 0.2800 0.3750  2 Fe 2.30, 2 Re 2.50
W8 0.7800 0.7500 0.1250  2 Fe 2.30, 2 Re 2.50

Most favorable first, least favorable last: model i, model iii, model ii, model iv